# 1
A relaxed structure of Cu3Ag4, computed with PBE-GGA.

Summary:
Volume: 107.5 Å³/cell
Excess energy over the best structure of this formula in the dataset: 0.309 eV per formula unit
Space group: I4/mmm
Electronic total energy: -21.8 eV per formula unit
Energy of formation from the pure elements: 86.0 meV/atom
Mass density: 9.61 Mg/m³

a = 13.3959 Å, b = 13.3959 Å, c = 13.3959 Å
α = 167.79°, β = 167.79°, γ = 17.30°
Positions (direct):
Ag (0.7908, 0.7908, 0.0000)
Cu (0.6401, 0.6401, 0.0000)
Cu (0.5000, 0.5000, 0.0000)
Ag (0.0701, 0.0701, 0.0000)
Ag (0.2092, 0.2092, 0.0000)
Cu (0.3599, 0.3599, 0.0000)
Ag (0.9299, 0.9299, 0.0000)

# 2
A relaxed structure of Cu3Ag7, computed with PBE-GGA.

Summary:
Volume: 162.6 Å³/cell
Excess energy over the best structure of this formula in the dataset: 0.497 eV per formula unit
Space group: R3m
Electronic total energy: -30.1 eV per formula unit
Energy of formation from the pure elements: 78.6 meV/atom
Mass density: 9.66 Mg/m³

a = 22.5838 Å, b = 22.5838 Å, c = 22.5838 Å
α = 7.33°, β = 7.33°, γ = 7.33°
Positions (direct):
Ag (0.1998, 0.1998, 0.1998)
Cu (0.5015, 0.5015, 0.5015)
Ag (0.8032, 0.8032, 0.8032)
Ag (0.6960, 0.6960, 0.6960)
Ag (0.9025, 0.9025, 0.9025)
Ag (0.1008, 0.1008, 0.1008)
Ag (0.2992, 0.2992, 0.2992)
Cu (0.6008, 0.6008, 0.6008)
Cu (0.9977, 0.9977, 0.9977)
Ag (0.3984, 0.3984, 0.3984)

# 3
A relaxed structure of Cu3Ag2, computed with PBE-GGA.

Summary:
Volume: 142.8 Å³/cell
Excess energy over the best structure of this formula in the dataset: 0.241 eV per formula unit
Space group: Pmm2
Electronic total energy: -16.3 eV per formula unit
Energy of formation from the pure elements: 90.2 meV/atom
Mass density: 9.45 Mg/m³

a = 2.7658 Å, b = 3.7073 Å, c = 13.9297 Å
α = 90.00°, β = 90.00°, γ = 90.00°
Positions (direct):
Ag (0.5000, 0.5000, 0.0876)
Ag (0.5000, 0.5000, 0.7053)
Cu (0.0000, 0.0000, 0.3979)
Cu (0.0000, 0.0000, 0.9850)
Ag (0.5000, 0.5000, 0.5002)
Cu (0.5000, 0.5000, 0.8968)
Cu (0.0000, 0.0000, 0.8077)
Cu (0.0000, 0.0000, 0.6027)
Ag (0.0000, 0.0000, 0.2071)
Cu (0.5000, 0.5000, 0.3096)

# 4
A relaxed structure of CuAg2, computed with PBE-GGA.

Summary:
Volume: 95.8 Å³/cell
Excess energy over the best structure of this formula in the dataset: 0.127 eV per formula unit
Space group: P-3m1
Electronic total energy: -9.1 eV per formula unit
Energy of formation from the pure elements: 73.2 meV/atom
Mass density: 9.69 Mg/m³

a = 2.8441 Å, b = 2.8441 Å, c = 13.6699 Å
α = 90.00°, β = 90.00°, γ = 120.00°
Positions (direct):
Ag (0.0000, 0.0000, 0.2308)
Ag (0.6667, 0.3333, 0.4105)
Ag (0.0000, 0.0000, 0.7692)
Ag (0.3333, 0.6667, 0.5895)
Cu (0.6667, 0.3333, 0.9300)
Cu (0.3333, 0.6667, 0.0700)